# Cd2AuCl, optimized geometry, DFT GGA-PBE
# E_form (uncorrected)	-0.314	eV/atom
# total magnetic moment	0.000	μB/atom
data_Cd2AuCl
_chemical_formula_sum 'Cd4 Au2 Cl2'
_cell_length_a 3.3944
_cell_length_b 3.5001
_cell_length_c 15.7892
_cell_angle_alpha 90.00
_cell_angle_beta 90.00
_cell_angle_gamma 90.00
_space_group_name_H-M_alt 'I m m 2'
_space_group_IT_number 44
loop_
_space_group_symop_operation_xyz
'x,y,z'
'-x,-y,z'
'-x,y,z'
'x,-y,z'
'x+1/2,y+1/2,z+1/2'
'-x+1/2,-y+1/2,z+1/2'
'-x+1/2,y+1/2,z+1/2'
'x+1/2,-y+1/2,z+1/2'
loop_
_atom_site_label
_atom_site_fract_x
_atom_site_fract_y
_atom_site_fract_z
_atom_site_occupancy
Cd1 0.0000 0.0000 0.0000 1
Cd2 0.0000 0.5000 0.2348 1
Au1 0.0000 0.5000 0.6415 1
Cl1 0.0000 0.0000 0.3884 1

***

# CdAuCl3, optimized geometry, DFT GGA-PBE
# E_form (uncorrected)	-0.205	eV/atom
# total magnetic moment	0.000	μB/atom
data_CdAuCl3
_chemical_formula_sum 'Cd1 Au1 Cl3'
_cell_length_a 5.1519
_cell_length_b 5.1519
_cell_length_c 5.1519
_cell_angle_alpha 90.00
_cell_angle_beta 90.00
_cell_angle_gamma 90.00
_space_group_name_H-M_alt 'P m -3 m'
_space_group_IT_number 221
_space_group_name_Hall '-P 4 2 3'
loop_
_atom_site_label
_atom_site_fract_x
_atom_site_fract_y
_atom_site_fract_z
_atom_site_occupancy
Cd1 0.0000 0.0000 0.0000 1
Au1 0.5000 0.5000 0.5000 1
Cl1 0.0000 0.0000 0.5000 1